Computed, not measured: crystalline UZnCrO6 at its relaxed geometry at the GGA+U level of DFT.

Properties
The total energy comes out at -7.632 eV per atom. The value obtained for the magnetic moment is 2.0 μB per formula unit. The space group is No. 163.

Unit cell a=5.2956 b=5.2956 c=8.9280 alpha=90.00 beta=90.00 gamma=120.00
With the nearest neighbours (Å) after each atom.
Sites, in units of the cell vectors:
O 0.9851 0.3384 0.1322  1 Cr 1.98, 1 U 2.08, 1 Zn 2.18
O 0.3384 0.9851 0.6322  1 Cr 1.98, 1 U 2.08, 1 Zn 2.18
Cr 0.6667 0.3333 0.2500  6 O 1.98
O 0.6616 0.0149 0.3678  1 Cr 1.98, 1 U 2.08, 1 Zn 2.18
U 0.6667 0.3333 0.7500  6 O 2.08
Cr 0.3333 0.6667 0.7500  6 O 1.98
Zn 0.0000 0.0000 0.0000  6 O 2.18
O 0.3533 0.0149 0.1322  1 Cr 1.98, 1 U 2.08, 1 Zn 2.18
U 0.3333 0.6667 0.2500  6 O 2.08
O 0.6467 0.6616 0.6322  1 Cr 1.98, 1 U 2.08, 1 Zn 2.18
Zn 0.0000 0.0000 0.5000  6 O 2.18
O 0.3533 0.3384 0.3678  1 Cr 1.98, 1 U 2.08, 1 Zn 2.18
O 0.3384 0.3533 0.8678  1 Cr 1.98, 1 U 2.08, 1 Zn 2.18
O 0.0149 0.3533 0.6322  1 Cr 1.98, 1 U 2.08, 1 Zn 2.18
O 0.0149 0.6616 0.8678  1 Cr 1.98, 1 U 2.08, 1 Zn 2.18
O 0.6616 0.6467 0.1322  1 Cr 1.98, 1 U 2.08, 1 Zn 2.18
O 0.6467 0.9851 0.8678  1 Cr 1.98, 1 U 2.08, 1 Zn 2.18
O 0.9851 0.6467 0.3678  1 Cr 1.98, 1 U 2.08, 1 Zn 2.18